(1)
# Tl2AsP

An optimized crystal structure of Tl2AsP (PBE-GGA, Alexandria via LeMat-Bulk).

abc: 10.249 10.249 10.249
angles: 18.74 18.74 18.74
Element x y z (fractional)
As 0.250 0.250 0.250
P 0.750 0.750 0.750
Tl 0.004 0.004 0.004
Tl 0.496 0.496 0.496

Properties
Its energy above the most stable polymorph in this dataset is 482 meV/atom. The calculation puts the spin magnetization at 0.0 Bohr magnetons per cell. Its density of states at the Fermi level is 0.64 states/eV per atom. The space group is R-3m (166). The calculation puts the energy of formation from the pure elements at 2.14 eV/f.u. Its crystal system is trigonal. Its calculated total energy is -12.65 eV/f.u.

***

(2)
# Tl2AsP

An optimized crystal structure of Tl2AsP (PBE-GGA, Alexandria via LeMat-Bulk).

abc: 6.980 5.841 3.174
angles: 89.89 63.15 118.35
Element x y z (fractional)
As 0.000 0.500 0.500
P 0.500 0.500 0.000
Tl 0.000 0.000 0.000
Tl 0.500 0.000 0.500

Properties
Its energy above the most stable polymorph in this dataset is 398 meV/atom. The calculation puts the spin magnetization at 0.0 Bohr magnetons per cell. Its density of states at the Fermi level is 0.66 states/eV per atom. The space group is C2/m (12). The calculation puts the energy of formation from the pure elements at 1.80 eV/f.u. Its crystal system is monoclinic. Its calculated total energy is -12.99 eV/f.u.

***

(3)
# Tl2AsP

An optimized crystal structure of Tl2AsP (PBE-GGA, Alexandria via LeMat-Bulk).

abc: 5.126 5.126 5.126
angles: 60.00 60.00 60.00
Element x y z (fractional)
P 0.000 0.000 0.000
Tl 0.250 0.250 0.250
Tl 0.750 0.750 0.750
As 0.500 0.500 0.500

Properties
Its energy above the most stable polymorph in this dataset is 425 meV/atom. The calculation puts the spin magnetization at 0.0 Bohr magnetons per cell. Its density of states at the Fermi level is 0.87 states/eV per atom. The space group is Fm-3m (225). The calculation puts the energy of formation from the pure elements at 1.91 eV/f.u. Its crystal system is cubic. Its calculated total energy is -12.88 eV/f.u.